Computed, not measured: crystalline Th3ReAg at its relaxed geometry at the PBE-GGA level of DFT.

Cell: 6.049 6.049 9.547 Å, 116.44 116.44 65.95°
Fractional positions:
1 Th 0.075 0.075 0.287
2 Th 0.288 0.288 0.713
3 Th 0.302 0.302 0.104
4 Th 0.698 0.698 0.896
5 Th 0.712 0.712 0.287
6 Th 0.925 0.925 0.713
7 Re 0.250 0.750 0.000
8 Re 0.750 0.250 0.000
9 Ag 0.298 0.702 0.500
10 Ag 0.702 0.298 0.500

Properties
symmetry = C2/m (12)
DOS(E_F) = 1.041 states/eV per atom
energy = -7.55 eV per atom



Computed, not measured: crystalline Mn2ZnB2Ir5 at its relaxed geometry at the PBE-GGA level of DFT.

Cell: 9.372 9.372 2.936 Å, 90.00 90.00 90.00°
Fractional positions:
1 Mn 0.178 0.322 0.000
2 Mn 0.322 0.822 0.000
3 Mn 0.678 0.178 0.000
4 Mn 0.822 0.678 0.000
5 Zn 0.000 0.000 0.000
6 Zn 0.500 0.500 0.000
7 B 0.128 0.628 0.000
8 B 0.372 0.128 0.000
9 B 0.628 0.872 0.000
10 B 0.872 0.372 0.000
11 Ir 0.000 0.500 0.500
12 Ir 0.071 0.786 0.500
13 Ir 0.214 0.071 0.500
14 Ir 0.286 0.571 0.500
15 Ir 0.429 0.286 0.500
16 Ir 0.500 0.000 0.500
17 Ir 0.571 0.714 0.500
18 Ir 0.714 0.429 0.500
19 Ir 0.786 0.929 0.500
20 Ir 0.929 0.214 0.500

Properties
symmetry = P4/mbm (127)
DOS(E_F) = 0.649 states/eV per atom
energy = -7.97 eV per atom